BaYNi3 | PBE | optimized geometry

**Electronic total energy**: -3.948 eV/atom
**ρ**: 5.493 g/cm3
**Polymorph energy (0 for the lowest one)**: 623 meV/atom
**SG**: Pm-3m
**Formation enthalpy at 0 K**: 1.20 eV per atom

a b c (Å): 4.9545 4.9545 4.9545
angles (deg): 90.00 90.00 90.00
With the nearest neighbours (Å) after each atom.
Sites, in units of the cell vectors:
Y1 0.5000 0.5000 0.5000  12 Ni 3.50
Ni1 0.0000 0.5000 0.0000  2 Ba 2.48
Ni2 0.5000 0.0000 0.0000  2 Ba 2.48
Ni3 0.0000 0.0000 0.5000  2 Ba 2.48
Ba1 0.0000 0.0000 0.0000  6 Ni 2.48